# 1
First-principles (PBE) data for a relaxed SrInPt crystal, as listed in the Open Quantum Materials Database.

Structure (extended XYZ):
```
3
Lattice="-0.169 -4.255 -2.761 -3.751 -3.342 0.717 -3.588 -0.586 -3.541" Properties=species:S:1:pos:R:3 pbc="T T T"
In -1.877 -2.046 -1.396
Pt -5.631 -6.137 -4.189
Sr 0.000 0.000 0.000
```

Calculated values
VASP energy = -10.3 eV for the cell shown
crystal system = cubic
total moment = 0.000 μB/atom

***

# 2
First-principles (PBE) data for a relaxed Li2Cd2In2PtAu crystal, as listed in the Open Quantum Materials Database.

Structure (extended XYZ):
```
8
Lattice="4.669 0.000 0.000 0.000 4.669 0.000 0.000 0.000 6.646" Properties=species:S:1:pos:R:3 pbc="T T T"
Au 0.000 0.000 0.000
Cd 2.335 0.000 1.711
Cd 0.000 2.335 4.934
In 0.000 2.335 1.723
In 2.335 0.000 4.923
Li 2.335 2.335 0.000
Li 0.000 0.000 3.323
Pt 2.335 2.335 3.323
```

Calculated values
VASP energy = -23.7 eV for the cell shown
crystal system = tetragonal
total moment = 0.000 μB/atom

***

# 3
First-principles (PBE) data for a relaxed Dy11Sn10 crystal, as listed in the Open Quantum Materials Database.

Structure (extended XYZ):
```
42
Lattice="-5.810 5.810 8.505 5.810 -5.810 8.505 5.810 5.810 -8.505" Properties=species:S:1:pos:R:3 pbc="T T T"
Dy -3.793 3.793 8.505
Dy 0.000 0.000 5.666
Dy 0.000 0.000 11.344
Dy 3.793 -3.793 8.505
Dy -2.893 5.810 5.297
Dy 0.000 2.917 3.209
Dy 2.917 0.000 3.209
Dy 5.810 -2.893 5.297
Dy 0.000 3.851 6.767
Dy 0.000 3.851 10.244
Dy 3.851 0.000 6.767
Dy 3.851 0.000 10.244
Dy 2.017 2.017 0.000
Dy 3.793 3.793 8.505
Dy 1.959 5.810 -1.739
Dy 1.959 5.810 1.739
Dy 5.810 1.959 -1.739
Dy 5.810 1.959 1.739
Dy 0.000 8.703 3.209
Dy 2.893 5.810 5.297
Dy 5.810 2.893 5.297
Dy 8.703 0.000 3.209
Sn 0.000 0.000 1.897
Sn -2.390 2.390 5.515
Sn -1.507 1.507 8.505
Sn -2.390 2.390 11.496
Sn 2.390 -2.390 5.515
Sn 1.507 -1.507 8.505
Sn 2.390 -2.390 11.496
Sn 0.000 0.000 15.113
Sn 1.507 1.507 8.505
Sn 0.000 4.132 0.000
Sn 4.132 0.000 0.000
Sn 2.390 2.390 5.515
Sn 2.390 2.390 11.496
Sn 0.000 5.810 4.253
Sn 5.810 0.000 4.253
Sn 3.420 3.420 -2.990
Sn 3.420 3.420 2.990
Sn 0.000 7.488 0.000
Sn 7.488 0.000 0.000
Sn 4.303 4.303 0.000
```

Calculated values
VASP energy = -212.3 eV for the cell shown
crystal system = tetragonal
total moment = 0.002 μB/atom

***

> Which value of total moment does entry 1 give?

0.000 μB/atom